# Pm2URu3 (PBE, optimized geometry)
data_Pm2URu3
_chemical_formula_sum 'Pm8 U4 Ru12'
_symmetry_space_group_name_H-M 'C m c m'
_symmetry_Int_Tables_number 63
_symmetry_space_group_name_Hall '-C 2c 2'
_cell_length_a 12.169
_cell_length_b 8.328
_cell_length_c 5.499
_cell_angle_alpha 90.00
_cell_angle_beta 90.00
_cell_angle_gamma 90.00
loop_
_atom_site_label
_atom_site_type_symbol
_atom_site_fract_x
_atom_site_fract_y
_atom_site_fract_z
Pm1 Pm 0.156 0.176 0.250
U1 U 0.000 0.370 0.750
Ru1 Ru 0.000 0.098 0.750
Ru2 Ru 0.157 0.500 0.000
# magnetic moment = 0.000 μB per atom
# energy relative to the lowest polymorph listed for this composition = 0.0 meV per atom
# total DFT energy (no corrections) = -50.0 eV/f.u.

# Tb2Ga5Co2Ir (PBE, optimized geometry)
data_Tb2Ga5Co2Ir
_chemical_formula_sum 'Tb4 Ga10 Co4 Ir2'
_symmetry_space_group_name_H-M 'P 4/m b m'
_symmetry_Int_Tables_number 127
_symmetry_space_group_name_Hall '-P 4 2ab'
_cell_length_a 9.123
_cell_length_b 9.123
_cell_length_c 3.990
_cell_angle_alpha 90.00
_cell_angle_beta 90.00
_cell_angle_gamma 90.00
loop_
_atom_site_label
_atom_site_type_symbol
_atom_site_fract_x
_atom_site_fract_y
_atom_site_fract_z
Tb1 Tb 0.183 0.317 0.000
Ga1 Ga 0.000 0.500 0.500
Ga2 Ga 0.057 0.797 0.500
Co1 Co 0.111 0.611 0.000
Ir1 Ir 0.000 0.000 0.000
# magnetic moment = 0.000 μB per atom
# total DFT energy (no corrections) = -51.4 eV/f.u.

# SrOs2Ru (PBE, optimized geometry)
data_SrOs2Ru
_chemical_formula_sum 'Sr2 Os4 Ru2'
_symmetry_space_group_name_H-M 'I m m m'
_symmetry_Int_Tables_number 71
_symmetry_space_group_name_Hall '-I 2 2'
_cell_length_a 2.831
_cell_length_b 4.786
_cell_length_c 10.378
_cell_angle_alpha 90.00
_cell_angle_beta 90.00
_cell_angle_gamma 90.00
loop_
_atom_site_label
_atom_site_type_symbol
_atom_site_fract_x
_atom_site_fract_y
_atom_site_fract_z
Sr1 Sr 0.000 0.000 0.000
Os1 Os 0.000 0.500 0.217
Ru1 Ru 0.000 0.000 0.500
# magnetic moment = 0.000 μB per atom
# energy relative to the lowest polymorph listed for this composition = 157.7 meV per atom
# total DFT energy (no corrections) = -30.4 eV/f.u.

# Sc2Tl3CdSe6 (PBE, optimized geometry)
data_Sc2Tl3CdSe6
_chemical_formula_sum 'Sc4 Tl6 Cd2 Se12'
_symmetry_space_group_name_H-M 'C 1 2/m 1'
_symmetry_Int_Tables_number 12
_symmetry_space_group_name_Hall '-C 2y'
_cell_length_a 7.037
_cell_length_b 12.221
_cell_length_c 7.775
_cell_angle_alpha 90.00
_cell_angle_beta 107.53
_cell_angle_gamma 90.00
loop_
_atom_site_label
_atom_site_type_symbol
_atom_site_fract_x
_atom_site_fract_y
_atom_site_fract_z
Sc1 Sc 0.000 0.169 0.000
Tl1 Tl 0.000 0.000 0.500
Tl2 Tl 0.000 0.336 0.500
Cd1 Cd 0.000 0.500 0.000
Se1 Se 0.220 0.000 0.199
Se2 Se 0.242 0.326 0.204
# magnetic moment = 0.000 μB per atom
# total DFT energy (no corrections) = -52.9 eV/f.u.
# energy relative to the elements, uncorrected = -0.942 eV/atom

# BH2Rh2 (PBE, optimized geometry)
data_BH2Rh2
_chemical_formula_sum 'B2 H4 Rh4'
_symmetry_space_group_name_H-M 'P 4/m b m'
_symmetry_Int_Tables_number 127
_symmetry_space_group_name_Hall '-P 4 2ab'
_cell_length_a 5.578
_cell_length_b 5.578
_cell_length_c 2.967
_cell_angle_alpha 90.00
_cell_angle_beta 90.00
_cell_angle_gamma 90.00
loop_
_atom_site_label
_atom_site_type_symbol
_atom_site_fract_x
_atom_site_fract_y
_atom_site_fract_z
B1 B 0.000 0.000 0.000
H1 H 0.215 0.285 0.500
Rh1 Rh 0.169 0.669 0.000
# magnetic moment = 0.000 μB per atom
# energy relative to the lowest polymorph listed for this composition = 131.1 meV per atom
# total DFT energy (no corrections) = -27.6 eV/f.u.

# NdTm2Tl2 (PBE, optimized geometry)
data_NdTm2Tl2
_chemical_formula_sum 'Nd2 Tm4 Tl4'
_symmetry_space_group_name_H-M 'P -1'
_symmetry_Int_Tables_number 2
_symmetry_space_group_name_Hall '-P 1'
_cell_length_a 5.228
_cell_length_b 6.826
_cell_length_c 8.604
_cell_angle_alpha 70.88
_cell_angle_beta 89.87
_cell_angle_gamma 89.96
loop_
_atom_site_label
_atom_site_type_symbol
_atom_site_fract_x
_atom_site_fract_y
_atom_site_fract_z
Nd1 Nd 0.250 0.249 0.250
Tm1 Tm 0.249 0.667 0.459
Tm2 Tm 0.251 0.833 0.042
Tl1 Tl 0.250 0.077 0.664
Tl2 Tl 0.250 0.424 0.837
# magnetic moment = 0.000 μB per atom
# energy relative to the lowest polymorph listed for this composition = 0.0 meV per atom
# total DFT energy (no corrections) = -19.8 eV/f.u.

# CsRb2U2Se5 (PBE, optimized geometry)
data_CsRb2U2Se5
_chemical_formula_sum 'Cs2 Rb4 U4 Se10'
_symmetry_space_group_name_H-M 'P 4/m b m'
_symmetry_Int_Tables_number 127
_symmetry_space_group_name_Hall '-P 4 2ab'
_cell_length_a 13.359
_cell_length_b 13.359
_cell_length_c 3.824
_cell_angle_alpha 90.00
_cell_angle_beta 90.00
_cell_angle_gamma 90.00
loop_
_atom_site_label
_atom_site_type_symbol
_atom_site_fract_x
_atom_site_fract_y
_atom_site_fract_z
Cs1 Cs 0.000 0.000 0.000
Rb1 Rb 0.183 0.317 0.000
U1 U 0.116 0.616 0.000
Se1 Se 0.000 0.500 0.500
Se2 Se 0.072 0.769 0.500
# magnetic moment = 0.489 μB per atom
# total DFT energy (no corrections) = -54.3 eV/f.u.
# energy relative to the elements, uncorrected = -1.147 eV/atom

# Cu2PtBr5 (PBE, optimized geometry)
data_Cu2PtBr5
_chemical_formula_sum 'Cu2 Pt1 Br5'
_symmetry_space_group_name_H-M 'P 1'
_symmetry_Int_Tables_number 1
_symmetry_space_group_name_Hall 'P 1'
_cell_length_a 5.825
_cell_length_b 6.840
_cell_length_c 6.860
_cell_angle_alpha 78.13
_cell_angle_beta 65.73
_cell_angle_gamma 64.89
loop_
_atom_site_label
_atom_site_type_symbol
_atom_site_fract_x
_atom_site_fract_y
_atom_site_fract_z
Cu1 Cu 0.000 0.000 0.000
Cu2 Cu 0.016 0.656 0.362
Pt1 Pt 0.557 0.632 0.991
Br1 Br 0.023 0.639 0.007
Br2 Br 0.278 0.983 0.183
Br3 Br 0.467 0.427 0.343
Br4 Br 0.620 0.844 0.640
Br5 Br 0.805 0.290 0.794
# magnetic moment = 0.000 μB per atom
# total DFT energy (no corrections) = -24.5 eV/f.u.
# energy relative to the elements, uncorrected = -0.242 eV/atom

# Tb3Y5In2 (PBE, optimized geometry)
data_Tb3Y5In2
_chemical_formula_sum 'Tb12 Y20 In8'
_symmetry_space_group_name_H-M 'I b a m'
_symmetry_Int_Tables_number 72
_symmetry_space_group_name_Hall '-I 2 2c'
_cell_length_a 12.827
_cell_length_b 15.698
_cell_length_c 6.375
_cell_angle_alpha 90.00
_cell_angle_beta 90.00
_cell_angle_gamma 90.00
loop_
_atom_site_label
_atom_site_type_symbol
_atom_site_fract_x
_atom_site_fract_y
_atom_site_fract_z
Tb1 Tb 0.000 0.000 0.250
Tb2 Tb 0.112 0.226 0.000
Y1 Y 0.000 0.500 0.250
Y2 Y 0.122 0.334 0.500
Y3 Y 0.250 0.000 0.250
In1 In 0.134 0.146 0.500
# magnetic moment = 0.000 μB per atom
# total DFT energy (no corrections) = -50.7 eV/f.u.

# Hf2ScZn2 (PBE, optimized geometry)
data_Hf2ScZn2
_chemical_formula_sum 'Hf4 Sc2 Zn4'
_symmetry_space_group_name_H-M 'I 4/m m m'
_symmetry_Int_Tables_number 139
_symmetry_space_group_name_Hall '-I 4 2'
_cell_length_a 4.013
_cell_length_b 4.013
_cell_length_c 13.289
_cell_angle_alpha 90.00
_cell_angle_beta 90.00
_cell_angle_gamma 90.00
loop_
_atom_site_label
_atom_site_type_symbol
_atom_site_fract_x
_atom_site_fract_y
_atom_site_fract_z
Hf1 Hf 0.000 0.000 0.107
Sc1 Sc 0.000 0.000 0.500
Zn1 Zn 0.000 0.500 0.250
# magnetic moment = 0.000 μB per atom
# energy relative to the lowest polymorph listed for this composition = 497.3 meV per atom
# total DFT energy (no corrections) = -27.3 eV/f.u.

# ZrVIr2Ru (PBE, optimized geometry)
data_ZrVIr2Ru
_chemical_formula_sum 'Zr1 V1 Ir2 Ru1'
_symmetry_space_group_name_H-M 'P 4/m m m'
_symmetry_Int_Tables_number 123
_symmetry_space_group_name_Hall '-P 4 2'
_cell_length_a 4.781
_cell_length_b 4.781
_cell_length_c 4.600
_cell_angle_alpha 90.00
_cell_angle_beta 90.00
_cell_angle_gamma 90.00
loop_
_atom_site_label
_atom_site_type_symbol
_atom_site_fract_x
_atom_site_fract_y
_atom_site_fract_z
Zr1 Zr 0.000 0.000 0.000
V1 V 0.000 0.000 0.500
Ir1 Ir 0.000 0.500 0.000
Ru1 Ru 0.500 0.500 0.500
# magnetic moment = 0.132 μB per atom
# total DFT energy (no corrections) = -35.2 eV/f.u.

# ErThAgSn (PBE, optimized geometry)
data_ErThAgSn
_chemical_formula_sum 'Er4 Th4 Ag4 Sn4'
_symmetry_space_group_name_H-M 'F -4 3 m'
_symmetry_Int_Tables_number 216
_symmetry_space_group_name_Hall 'F -4 2 3'
_cell_length_a 7.496
_cell_length_b 7.496
_cell_length_c 7.496
_cell_angle_alpha 90.00
_cell_angle_beta 90.00
_cell_angle_gamma 90.00
loop_
_atom_site_label
_atom_site_type_symbol
_atom_site_fract_x
_atom_site_fract_y
_atom_site_fract_z
Er1 Er 0.000 0.000 0.000
Th1 Th 0.000 0.000 0.500
Ag1 Ag 0.250 0.250 0.750
Sn1 Sn 0.250 0.250 0.250
# magnetic moment = 0.000 μB per atom
# total DFT energy (no corrections) = -20.2 eV/f.u.

# Tb15Pm2Sm2 (PBE, optimized geometry)
data_Tb15Pm2Sm2
_chemical_formula_sum 'Tb45 Pm6 Sm6'
_symmetry_space_group_name_H-M 'R -3 m'
_symmetry_Int_Tables_number 166
_symmetry_space_group_name_Hall '-R 3 2"'
_cell_length_a 11.4897
_cell_length_b 11.4897
_cell_length_c 17.0430
_cell_angle_alpha 90.00
_cell_angle_beta 90.00
_cell_angle_gamma 120.00
loop_
_atom_site_label
_atom_site_type_symbol
_atom_site_fract_x
_atom_site_fract_y
_atom_site_fract_z
Tb1 Tb 0.0000 0.3404 0.0000
Tb2 Tb 0.0000 0.5000 0.5000
Tb3 Tb 0.0172 0.5086 0.1742
Pm1 Pm 0.0000 0.0000 0.3468
Sm1 Sm 0.0000 0.0000 0.1096
# magnetic moment = 0.000 μB per atom
# total DFT energy (no corrections) = -83.1 eV/f.u.

# RhN2OF (PBE, optimized geometry)
data_RhN2OF
_chemical_formula_sum 'Rh1 N2 O1 F1'
_symmetry_space_group_name_H-M 'P 4/m m m'
_symmetry_Int_Tables_number 123
_symmetry_space_group_name_Hall '-P 4 2'
_cell_length_a 3.405
_cell_length_b 3.405
_cell_length_c 4.278
_cell_angle_alpha 90.00
_cell_angle_beta 90.00
_cell_angle_gamma 90.00
loop_
_atom_site_label
_atom_site_type_symbol
_atom_site_fract_x
_atom_site_fract_y
_atom_site_fract_z
Rh1 Rh 0.000 0.000 0.000
N1 N 0.000 0.500 0.500
O1 O 0.500 0.500 0.500
F1 F 0.500 0.500 0.000
# magnetic moment = 0.136 μB per atom
# total DFT energy (no corrections) = -20.8 eV/f.u.
# energy relative to the elements, uncorrected = 2.011 eV/atom

# SmGdCdCu (PBE, optimized geometry)
data_SmGdCdCu
_chemical_formula_sum 'Sm4 Gd4 Cd4 Cu4'
_symmetry_space_group_name_H-M 'F -4 3 m'
_symmetry_Int_Tables_number 216
_symmetry_space_group_name_Hall 'F -4 2 3'
_cell_length_a 7.345
_cell_length_b 7.345
_cell_length_c 7.345
_cell_angle_alpha 90.00
_cell_angle_beta 90.00
_cell_angle_gamma 90.00
loop_
_atom_site_label
_atom_site_type_symbol
_atom_site_fract_x
_atom_site_fract_y
_atom_site_fract_z
Sm1 Sm 0.000 0.000 0.000
Gd1 Gd 0.000 0.000 0.500
Cd1 Cd 0.250 0.250 0.750
Cu1 Cu 0.250 0.250 0.250
# magnetic moment = 1.850 μB per atom
# total DFT energy (no corrections) = -24.7 eV/f.u.

# Dy4CdHg2Pt (PBE, optimized geometry)
data_Dy4CdHg2Pt
_chemical_formula_sum 'Dy12 Cd3 Hg6 Pt3'
_symmetry_space_group_name_H-M 'R -3 m'
_symmetry_Int_Tables_number 166
_symmetry_space_group_name_Hall '-R 3 2"'
_cell_length_a 5.1855
_cell_length_b 5.1855
_cell_length_c 25.2987
_cell_angle_alpha 90.00
_cell_angle_beta 90.00
_cell_angle_gamma 120.00
loop_
_atom_site_label
_atom_site_type_symbol
_atom_site_fract_x
_atom_site_fract_y
_atom_site_fract_z
Dy1 Dy 0.0000 0.0000 0.1154
Dy2 Dy 0.0000 0.0000 0.3684
Cd1 Cd 0.0000 0.0000 0.5000
Hg1 Hg 0.0000 0.0000 0.2395
Pt1 Pt 0.0000 0.0000 0.0000
# magnetic moment = 0.000 μB per atom
# total DFT energy (no corrections) = -31.1 eV/f.u.

# Tb2Sc3Pt4 (PBE, optimized geometry)
data_Tb2Sc3Pt4
_chemical_formula_sum 'Tb4 Sc6 Pt8'
_symmetry_space_group_name_H-M 'P 1 21/c 1'
_symmetry_Int_Tables_number 14
_symmetry_space_group_name_Hall '-P 2ybc'
_cell_length_a 7.292
_cell_length_b 7.359
_cell_length_c 7.495
_cell_angle_alpha 90.00
_cell_angle_beta 110.43
_cell_angle_gamma 90.00
loop_
_atom_site_label
_atom_site_type_symbol
_atom_site_fract_x
_atom_site_fract_y
_atom_site_fract_z
Tb1 Tb 0.193 0.175 0.070
Sc1 Sc 0.249 0.662 0.247
Sc2 Sc 0.500 0.000 0.500
Pt1 Pt 0.087 0.544 0.855
Pt2 Pt 0.500 0.138 0.870
# magnetic moment = 0.000 μB per atom
# energy relative to the lowest polymorph listed for this composition = 0.0 meV per atom
# total DFT energy (no corrections) = -63.1 eV/f.u.

# ZrSc2Ni (PBE, optimized geometry)
data_ZrSc2Ni
_chemical_formula_sum 'Zr4 Sc8 Ni4'
_symmetry_space_group_name_H-M 'F -4 3 m'
_symmetry_Int_Tables_number 216
_symmetry_space_group_name_Hall 'F -4 2 3'
_cell_length_a 6.772
_cell_length_b 6.772
_cell_length_c 6.772
_cell_angle_alpha 90.00
_cell_angle_beta 90.00
_cell_angle_gamma 90.00
loop_
_atom_site_label
_atom_site_type_symbol
_atom_site_fract_x
_atom_site_fract_y
_atom_site_fract_z
Zr1 Zr 0.000 0.000 0.000
Sc1 Sc 0.000 0.000 0.500
Sc2 Sc 0.250 0.250 0.250
Ni1 Ni 0.250 0.250 0.750
# magnetic moment = 0.001 μB per atom
# energy relative to the lowest polymorph listed for this composition = 316.7 meV per atom
# total DFT energy (no corrections) = -26.7 eV/f.u.

# NaBH4O4 (PBE, optimized geometry)
data_NaBH4O4
_chemical_formula_sum 'Na4 B4 H16 O16'
_symmetry_space_group_name_H-M 'P 1 21/c 1'
_symmetry_Int_Tables_number 14
_symmetry_space_group_name_Hall '-P 2ybc'
_cell_length_a 6.215
_cell_length_b 10.551
_cell_length_c 5.962
_cell_angle_alpha 90.00
_cell_angle_beta 112.27
_cell_angle_gamma 90.00
loop_
_atom_site_label
_atom_site_type_symbol
_atom_site_fract_x
_atom_site_fract_y
_atom_site_fract_z
Na1 Na 0.240 0.017 0.251
B1 B 0.271 0.590 0.228
H1 H 0.021 0.119 0.575
H2 H 0.137 0.695 0.429
H3 H 0.376 0.090 0.856
H4 H 0.496 0.743 0.349
O1 O 0.140 0.603 0.388
O2 O 0.145 0.645 0.984
O3 O 0.313 0.047 0.696
O4 O 0.493 0.151 0.164
# magnetic moment = 0.000 μB per atom
# total DFT energy (no corrections) = -56.8 eV/f.u.

# Sr2AgI2O2 (PBE, optimized geometry)
data_Sr2AgI2O2
_chemical_formula_sum 'Sr4 Ag2 I4 O4'
_symmetry_space_group_name_H-M 'I 4/m m m'
_symmetry_Int_Tables_number 139
_symmetry_space_group_name_Hall '-I 4 2'
_cell_length_a 4.284
_cell_length_b 4.284
_cell_length_c 20.699
_cell_angle_alpha 90.00
_cell_angle_beta 90.00
_cell_angle_gamma 90.00
loop_
_atom_site_label
_atom_site_type_symbol
_atom_site_fract_x
_atom_site_fract_y
_atom_site_fract_z
Sr1 Sr 0.000 0.000 0.081
Ag1 Ag 0.000 0.000 0.500
I1 I 0.000 0.000 0.337
O1 O 0.000 0.500 0.000
# magnetic moment = 0.000 μB per atom
# total DFT energy (no corrections) = -30.4 eV/f.u.
# energy relative to the elements, uncorrected = -1.594 eV/atom

# LiBP2O (PBE, optimized geometry)
data_LiBP2O
_chemical_formula_sum 'Li1 B1 P2 O1'
_symmetry_space_group_name_H-M 'P 4/m m m'
_symmetry_Int_Tables_number 123
_symmetry_space_group_name_Hall '-P 4 2'
_cell_length_a 4.454
_cell_length_b 4.454
_cell_length_c 3.158
_cell_angle_alpha 90.00
_cell_angle_beta 90.00
_cell_angle_gamma 90.00
loop_
_atom_site_label
_atom_site_type_symbol
_atom_site_fract_x
_atom_site_fract_y
_atom_site_fract_z
Li1 Li 0.000 0.000 0.000
B1 B 0.500 0.500 0.500
P1 P 0.000 0.500 0.000
O1 O 0.000 0.000 0.500
# magnetic moment = 0.000 μB per atom
# energy relative to the lowest polymorph listed for this composition = 1255.6 meV per atom
# total DFT energy (no corrections) = -18.6 eV/f.u.
# energy relative to the elements, uncorrected = 1.151 eV/atom